8
Lattice="4.517 0.000 0.000 0.000 4.715 0.000 -2.260 0.000 8.703" Properties=species:S:1:pos:R:3 comment="GGA-PBE Sm2GaCo, relaxed" total_magnetization_mub_per_cell=2.1 sg=P2_1/m volume_a3_per_fu=92.7 formation_energy_ev_per_atom=-0.266 final_energy_ev_per_atom=-5.159 pbc="T T T"
Sm 0.001 1.179 1.384
Sm -0.001 3.536 4.667
Sm 2.258 1.179 4.036
Sm 2.256 3.536 7.319
Ga -0.003 1.179 6.528
Ga 2.260 3.536 2.174
Co 2.259 0.000 0.000
Co 2.259 2.358 0.000